No. 1
Here is a relaxed Ni2Ir4Rh3 crystal from Alexandria via LeMat-Bulk. Energies are from PBE.

```
Ni2Ir4Rh3
1.0
-1.355 3.602 6.470
1.355 -3.602 6.470
1.355 3.602 -6.470
Ni Ir Rh
2 4 3
direct
0.178 0.000 0.178 Ni
0.822 0.000 0.822 Ni
0.150 0.827 0.323 Ir
0.496 0.173 0.323 Ir
0.504 0.827 0.677 Ir
0.850 0.173 0.677 Ir
0.143 0.643 0.500 Rh
0.500 0.500 0.000 Rh
0.857 0.357 0.500 Rh
```

Properties
The calculation puts the relative energy among the computed polymorphs at 0.0 meV per atom. As for the density of states at the Fermi level: 13.3 states/eV per cell. For the energy relative to the elements, the calculation gives 0.136 eV/atom.


No. 2
Here is a relaxed Dy4Te2Pd crystal from Alexandria via LeMat-Bulk. Energies are from PBE.

```
Dy4Te2Pd
1.0
7.939 -2.064 0.000
7.939 2.064 0.000
-3.128 0.000 6.330
Dy Te Pd
4 2 1
direct
0.103 0.103 0.446 Dy
0.394 0.394 0.065 Dy
0.606 0.606 0.935 Dy
0.897 0.897 0.554 Dy
0.253 0.253 0.259 Te
0.747 0.747 0.741 Te
0.000 0.000 0.000 Pd
```

Properties
As for the density of states at the Fermi level: 5.6 states/eV per cell. Its raw formation energy is -0.90 eV per atom.


No. 3
Here is a relaxed Dy4TlGaO crystal from Alexandria via LeMat-Bulk. Energies are from PBE.

```
Dy4TlGaO
1.0
3.239 -8.103 0.000
3.239 8.103 0.000
0.000 0.000 6.492
Dy Tl Ga O
8 2 2 2
direct
0.000 0.500 0.000 Dy
0.000 0.500 0.500 Dy
0.067 0.933 0.750 Dy
0.418 0.582 0.750 Dy
0.500 0.000 0.000 Dy
0.500 0.000 0.500 Dy
0.582 0.418 0.250 Dy
0.933 0.067 0.250 Dy
0.392 0.608 0.250 Tl
0.608 0.392 0.750 Tl
0.118 0.882 0.250 Ga
0.882 0.118 0.750 Ga
0.264 0.736 0.750 O
0.736 0.264 0.250 O
```

Properties
As for the density of states at the Fermi level: 3.9 states/eV per cell. Its raw formation energy is -1.10 eV per atom.


No. 4
Here is a relaxed NiBiPb2 crystal from Alexandria via LeMat-Bulk. Energies are from PBE.

```
NiBiPb2
1.0
1.768 1.021 10.086
-1.768 1.021 10.086
0.000 -2.042 10.086
Ni Bi Pb
1 1 2
direct
0.000 0.000 0.000 Ni
0.500 0.500 0.500 Bi
0.392 0.392 0.392 Pb
0.608 0.608 0.608 Pb
```

Properties
As for the density of states at the Fermi level: 2.5 states/eV per cell. For the energy relative to the elements, the calculation gives 0.154 eV/atom.


No. 5
Here is a relaxed Ta2ZnCr crystal from Alexandria via LeMat-Bulk. Energies are from PBE.

```
Ta2ZnCr
1.0
2.714 0.000 0.000
0.000 2.714 0.000
0.000 0.000 8.634
Ta Zn Cr
2 1 1
direct
0.000 0.000 0.000 Ta
0.500 0.500 0.277 Ta
0.000 0.000 0.529 Zn
0.500 0.500 0.746 Cr
```

Properties
As for the density of states at the Fermi level: 3.8 states/eV per cell. For the energy relative to the elements, the calculation gives 0.261 eV/atom.


No. 6
Here is a relaxed CsKFe3 crystal from Alexandria via LeMat-Bulk. Energies are from PBE.

```
CsKFe3
1.0
5.430 0.000 0.000
0.000 5.430 0.000
0.000 0.000 5.430
Cs K Fe
1 1 3
direct
0.000 0.000 0.000 Cs
0.500 0.500 0.500 K
0.000 0.000 0.500 Fe
0.000 0.500 0.000 Fe
0.500 0.000 0.000 Fe
```

Properties
As for the density of states at the Fermi level: 5.0 states/eV per cell. For the energy relative to the elements, the calculation gives 2.341 eV/atom.


Please write out number 4 again, unchanged.
Here is a relaxed NiBiPb2 crystal from Alexandria via LeMat-Bulk. Energies are from PBE.

```
NiBiPb2
1.0
1.768 1.021 10.086
-1.768 1.021 10.086
0.000 -2.042 10.086
Ni Bi Pb
1 1 2
direct
0.000 0.000 0.000 Ni
0.500 0.500 0.500 Bi
0.392 0.392 0.392 Pb
0.608 0.608 0.608 Pb
```

Properties
As for the density of states at the Fermi level: 2.5 states/eV per cell. For the energy relative to the elements, the calculation gives 0.154 eV/atom.


Question: Number 3 is which compound?
Answer: Dy4TlGaO